Record 1
LiNbCoSi2: relaxed, GGA-PBE.

Total moment = 1.43 Bohr magnetons per cell
E_form (uncorrected) = 0.904 eV/atom
SG = P4/mmm
N(E_F) = 4.33 states/eV/cell

Cell: 4.0703 4.0703 4.3319 Å, 90.00 90.00 90.00°
Closest atoms and distances in Å follow each position.
Fractional coordinates of all 5 atoms:
Li: 0.0000 0.0000 0.0000  4 Si 2.04, 2 Nb 2.17
Nb: 0.0000 0.0000 0.5000  2 Li 2.17
Co: 0.5000 0.5000 0.5000  4 Nb 2.88, 8 Si 2.97
Si: 0.0000 0.5000 0.0000  2 Li 2.04
Si: 0.5000 0.0000 0.0000  2 Li 2.04

Record 2
CoSiAg2: relaxed, GGA-PBE.

Total moment = 1.11 Bohr magnetons per cell
E_form (uncorrected) = 0.358 eV/atom
SG = I4/mmm
N(E_F) = 4.90 states/eV/cell

Cell: 4.9554 4.9554 4.9554 Å, 135.04 135.04 65.46°
Closest atoms and distances in Å follow each position.
Fractional coordinates of all 4 atoms:
Co: 0.0000 0.0000 0.0000  4 Si 2.68, 8 Ag 2.82
Si: 0.5000 0.5000 0.0000  4 Co 2.68, 8 Ag 2.82
Ag: 0.2500 0.7500 0.5000  4 Ag 2.68, 4 Co 2.82, 4 Si 2.82
Ag: 0.7500 0.2500 0.5000  4 Ag 2.68, 4 Co 2.82, 4 Si 2.82

Record 3
Nd2EuAl: relaxed, GGA-PBE.

Total moment = 7.95 Bohr magnetons per cell
SG = P4/mmm
Calculated formation energy = -0.52 eV/f.u.
N(E_F) = 4.41 states/eV/cell

Cell: 3.7120 3.7120 9.2805 Å, 90.00 90.00 90.00°
Closest atoms and distances in Å follow each position.
Fractional coordinates of all 4 atoms:
Nd: 0.0000 0.0000 0.1999  4 Al 3.21
Nd: 0.0000 0.0000 0.8001  4 Al 3.21
Eu: 0.5000 0.5000 0.5000  4 Eu 3.71, 8 Nd 3.83
Al: 0.5000 0.5000 0.0000  8 Nd 3.21